No. 1
# SiTcRhCl

SiTcRhCl after structural relaxation (PBE-GGA, the Alexandria database).

Cell lengths 3.4433, 3.0565, 6.6506 Å; angles 90.00, 93.57, 90.00 degrees
Positions (direct):
Si: 0.0000 0.0000 0.0000
Tc: 0.4872 0.5000 0.8736
Rh: 0.5216 0.0000 0.2318
Cl: 0.3907 0.5000 0.5192

Values from the calculation:
Mass density = 6.29 g/cm³
Uncorrected formation energy = -0.21 eV/atom
Symmetry = Pm (6)
E above lowest polymorph = 0.086 eV per atom
Calculated volume = 70 Å³/cell

---

No. 2
# SiTcRhCl

SiTcRhCl after structural relaxation (PBE-GGA, the Alexandria database).

Cell lengths 4.2118, 4.2118, 5.8398 Å; angles 107.35, 107.35, 40.54 degrees
Positions (direct):
Si: 0.0000 0.0000 0.0000
Tc: 0.6776 0.6776 0.3357
Rh: 0.6834 0.6834 0.8289
Cl: 0.4280 0.4280 0.4555

Values from the calculation:
Mass density = 6.88 g/cm³
Uncorrected formation energy = 0.06 eV/atom
Symmetry = Cm (8)
E above lowest polymorph = 0.364 eV per atom
Calculated volume = 64 Å³/cell

---

No. 3
# SiTcRhCl

SiTcRhCl after structural relaxation (PBE-GGA, the Alexandria database).

Cell lengths 3.1856, 3.1856, 7.6145 Å; angles 90.96, 90.96, 57.33 degrees
Positions (direct):
Si: 0.0000 0.0000 0.0000
Tc: 0.6778 0.6778 0.2076
Rh: 0.6719 0.6719 0.8032
Cl: 0.5603 0.5603 0.5015

Values from the calculation:
Mass density = 6.75 g/cm³
Uncorrected formation energy = -0.20 eV/atom
Symmetry = Cm (8)
E above lowest polymorph = 0.099 eV per atom
Calculated volume = 65 Å³/cell

---

No. 4
# SiTcRhCl

SiTcRhCl after structural relaxation (PBE-GGA, the Alexandria database).

Cell lengths 3.0034, 3.3626, 7.3804 Å; angles 86.31, 78.27, 64.08 degrees
Positions (direct):
Si: 0.0000 0.0000 0.0000
Tc: 0.5782 0.6200 0.2144
Rh: 0.7892 0.6024 0.8090
Cl: 0.9027 0.7075 0.4790

Values from the calculation:
Mass density = 6.69 g/cm³
Uncorrected formation energy = -0.23 eV/atom
Symmetry = P1 (1)
E above lowest polymorph = 0.069 eV per atom
Calculated volume = 66 Å³/cell

---

No. 5
# SiTcRhCl

SiTcRhCl after structural relaxation (PBE-GGA, the Alexandria database).

Cell lengths 7.1917, 7.1917, 3.0754 Å; angles 92.54, 92.54, 23.48 degrees
Positions (direct):
Si: 0.0000 0.0000 0.0000
Tc: 0.3994 0.3994 0.4795
Rh: 0.5926 0.5926 0.5186
Cl: 0.7656 0.7656 0.4202

Values from the calculation:
Mass density = 6.94 g/cm³
Uncorrected formation energy = -0.30 eV/atom
Symmetry = Cm (8)
E above lowest polymorph = 0.000 eV per atom
Calculated volume = 63 Å³/cell

---

No. 6
# SiTcRhCl

SiTcRhCl after structural relaxation (PBE-GGA, the Alexandria database).

Cell lengths 2.9522, 2.9522, 7.4796 Å; angles 90.00, 90.00, 90.00 degrees
Positions (direct):
Si: 0.0000 0.0000 0.0000
Tc: 0.5000 0.5000 0.1907
Rh: 0.5000 0.5000 0.8214
Cl: 0.5000 0.5000 0.4982

Values from the calculation:
Mass density = 6.74 g/cm³
Uncorrected formation energy = -0.22 eV/atom
Symmetry = P4mm (99)
E above lowest polymorph = 0.082 eV per atom
Calculated volume = 65 Å³/cell

---

No. 7
# SiTcRhCl

SiTcRhCl after structural relaxation (PBE-GGA, the Alexandria database).

Cell lengths 2.8733, 2.8733, 8.7164 Å; angles 99.26, 99.26, 60.01 degrees
Positions (direct):
Si: 0.0000 0.0000 0.0000
Tc: 0.5903 0.5903 0.7698
Rh: 0.4015 0.4015 0.2067
Cl: 0.5029 0.5029 0.5024

Values from the calculation:
Mass density = 7.17 g/cm³
Uncorrected formation energy = -0.04 eV/atom
Symmetry = Cm (8)
E above lowest polymorph = 0.264 eV per atom
Calculated volume = 61 Å³/cell

---

No. 8
# SiTcRhCl

SiTcRhCl after structural relaxation (PBE-GGA, the Alexandria database).

Cell lengths 4.3384, 4.3384, 6.3415 Å; angles 122.31, 122.31, 39.63 degrees
Positions (direct):
Si: 0.0000 0.0000 0.0000
Tc: 0.5614 0.5614 0.3548
Rh: 0.2127 0.2127 0.8356
Cl: 0.8780 0.8780 0.4478

Values from the calculation:
Mass density = 7.01 g/cm³
Uncorrected formation energy = 0.05 eV/atom
Symmetry = Cm (8)
E above lowest polymorph = 0.345 eV per atom
Calculated volume = 63 Å³/cell

---

> What is the uncorrected formation energy in the sixth record?

-0.22 eV/atom